Below is a relaxed ThZr2Cu6 crystal, with properties calculated at the PBE level.

- Calculated formation energy: -0.128 eV/atom

Unit cell a=7.4722 b=7.4722 c=3.1460 alpha=90.00 beta=90.00 gamma=120.00
With the nearest neighbours (Å) after each atom.
Space group P6/mmm (No. 191)
Asymmetric unit:
Th  0.0000  0.0000  0.0000 [1 per cell]  12 Cu 2.98, 2 Th 3.15
Zr  0.3333  0.6667  0.0000 [2 per cell]  12 Cu 2.93, 2 Zr 3.15
Cu  0.0000  0.3390  0.5000 [6 per cell]  3 Cu 2.41-2.53


Below is a relaxed GdThCoIr crystal, with properties calculated at the PBE level.

- Calculated formation energy: -0.443 eV/atom

Unit cell a=6.9629 b=6.9629 c=6.9629 alpha=90.00 beta=90.00 gamma=90.00
With the nearest neighbours (Å) after each atom.
Space group F-43m (No. 216)
Asymmetric unit:
Gd  0.0000  0.0000  0.0000 [4 per cell]  4 Co 3.02, 4 Ir 3.02
Th  0.0000  0.0000  0.5000 [4 per cell]  4 Co 3.02, 4 Ir 3.02
Co  0.2500  0.2500  0.2500 [4 per cell]  4 Gd 3.02, 4 Th 3.02
Ir  0.2500  0.2500  0.7500 [4 per cell]  4 Gd 3.02, 4 Th 3.02


Below is a relaxed MgCdNiSn2 crystal, with properties calculated at the PBE level.

- Calculated formation energy: -0.002 eV/atom

Unit cell a=4.9444 b=4.9444 c=4.9429 alpha=90.00 beta=90.00 gamma=90.00
With the nearest neighbours (Å) after each atom.
Space group P4/mmm (No. 123)
Asymmetric unit:
Mg  0.0000  0.0000  0.0000 [1 per cell]  2 Ni 2.47
Cd  0.5000  0.5000  0.0000 [1 per cell]  8 Sn 3.50, 4 Mg 3.50
Ni  0.0000  0.0000  0.5000 [1 per cell]  2 Mg 2.47, 4 Sn 2.47
Sn  0.0000  0.5000  0.5000 [2 per cell]  2 Ni 2.47


Below is a relaxed La2Pr3Er8 crystal, with properties calculated at the PBE level.

- ΔE to the lowest computed polymorph: 3.018 eV/f.u.
- Calculated formation energy: 0.260 eV/atom

Unit cell a=20.9894 b=7.7036 c=5.5765 alpha=90.00 beta=90.01 gamma=90.00
With the nearest neighbours (Å) after each atom.
Space group C2/m (No. 12)
Asymmetric unit:
La  0.2409  0.0000  0.4994 [4 per cell]  8 Er 3.47-3.67, 2 La 3.87
Pr  0.0000  0.0000  0.5000 [2 per cell]  4 Er 3.17
Pr  0.0000  0.2957  0.0000 [4 per cell]  1 Pr 3.15, 2 Er 3.52
Er  0.1078  0.2887  0.5001 [8 per cell]  1 Pr 3.17, 3 Er 3.26-3.42
Er  0.1277  0.0000  0.9999 [4 per cell]  4 Pr 3.52-3.87, 6 Er 3.59-3.91, 2 La 3.66-3.67
Er  0.1608  0.5000  0.0003 [4 per cell]  4 Er 3.41-3.42, 2 La 3.47, 2 Pr 3.72


Below is a relaxed Tl3Zn crystal, with properties calculated at the PBE level.

- Calculated formation energy: 0.147 eV/atom

Unit cell a=4.6944 b=4.6944 c=20.0267 alpha=90.00 beta=90.00 gamma=90.00
With the nearest neighbours (Å) after each atom.
Space group I4/mmm (No. 139)
Asymmetric unit:
Tl  0.0000  0.0000  0.1250 [4 per cell]  4 Zn 3.32, 8 Tl 3.43
Tl  0.0000  0.5000  0.0000 [4 per cell]  8 Tl 3.32-3.43, 4 Zn 3.43
Tl  0.0000  0.5000  0.2500 [4 per cell]  8 Tl 3.32-3.43, 4 Zn 3.43
Zn  0.0000  0.0000  0.3749 [4 per cell]  12 Tl 3.32-3.43


Below is a relaxed NaLi2NpO6 crystal, with properties calculated at the PBE level.

- Formation energy from raw total energies: -2.031 eV/atom

Unit cell a=5.3753 b=5.5614 c=5.6476 alpha=95.92 beta=117.00 gamma=113.87
With the nearest neighbours (Å) after each atom.
Space group P-1 (No. 2)
Asymmetric unit:
Na  0.0000  0.0000  0.0000 [1 per cell]  6 O 2.42-2.63
Li  0.4750  0.8083  0.2881 [2 per cell]  4 O 1.97-2.08
Np  0.0000  0.5000  0.5000 [1 per cell]  4 O 1.90-1.96
O  0.1576  0.8273  0.3941 [2 per cell]  1 Np 1.96, 2 Li 2.01-2.08
O  0.2175  0.7376  0.8792 [2 per cell]  1 Np 1.90, 1 Li 1.97
O  0.4856  0.5140  0.6242 [2 per cell]  1 O 1.48


Below is a relaxed Li2HgOsN crystal, with properties calculated at the PBE level.

- Formation energy from raw total energies: -0.160 eV/atom

Unit cell a=4.1855 b=4.1855 c=3.8323 alpha=90.00 beta=90.00 gamma=90.00
With the nearest neighbours (Å) after each atom.
Space group P4/mmm (No. 123)
Asymmetric unit:
Li  0.0000  0.5000  0.0000 [2 per cell]  2 N 2.09
Hg  0.0000  0.0000  0.5000 [1 per cell]  8 Li 2.84, 4 Os 2.96
Os  0.5000  0.5000  0.5000 [1 per cell]  2 N 1.92
N  0.5000  0.5000  0.0000 [1 per cell]  2 Os 1.92, 4 Li 2.09


Below is a relaxed SiIO2F crystal, with properties calculated at the PBE level.

- Formation energy from raw total energies: -1.041 eV/atom

Unit cell a=3.4338 b=3.4338 c=7.2875 alpha=90.00 beta=90.00 gamma=90.00
With the nearest neighbours (Å) after each atom.
Space group P4/mmm (No. 123)
Asymmetric unit:
Si  0.0000  0.0000  0.0000 [1 per cell]  4 O 1.72
I  0.5000  0.5000  0.5000 [1 per cell]  4 F 2.43
O  0.0000  0.5000  0.0000 [2 per cell]  2 Si 1.72
F  0.0000  0.0000  0.5000 [1 per cell]  4 I 2.43


Below is a relaxed AlRhOF2 crystal, with properties calculated at the PBE level.

- Formation energy from raw total energies: -1.634 eV/atom
- ΔE to the lowest computed polymorph: 0.000 eV/f.u.

Unit cell a=3.7915 b=3.7915 c=3.7941 alpha=90.00 beta=90.00 gamma=90.00
With the nearest neighbours (Å) after each atom.
Space group P4/mmm (No. 123)
Asymmetric unit:
Al  0.0000  0.0000  0.0000 [1 per cell]  4 F 1.90, 2 O 1.90
Rh  0.5000  0.5000  0.5000 [1 per cell]  4 O 2.68, 8 F 2.68
O  0.0000  0.0000  0.5000 [1 per cell]  2 Al 1.90
F  0.0000  0.5000  0.0000 [2 per cell]  2 Al 1.90


Below is a relaxed As2PW crystal, with properties calculated at the PBE level.

- Calculated formation energy: 0.389 eV/atom

Unit cell a=3.0666 b=3.0666 c=25.5240 alpha=90.00 beta=90.00 gamma=120.00
With the nearest neighbours (Å) after each atom.
Space group R-3m (No. 166, hexagonal axes)
Asymmetric unit:
As  0.0000  0.0000  0.2420 [6 per cell]  3 W 2.61
P  0.0000  0.0000  0.0000 [3 per cell]  6 As 2.93, 6 P 3.07
W  0.0000  0.0000  0.5000 [3 per cell]  6 As 2.61


Below is a relaxed LaInOs3 crystal, with properties calculated at the PBE level.

- ΔE to the lowest computed polymorph: 0.000 eV/f.u.
- Calculated formation energy: 1.804 eV/atom

Unit cell a=4.8895 b=4.8895 c=4.8895 alpha=90.00 beta=90.00 gamma=90.00
With the nearest neighbours (Å) after each atom.
Space group Pm-3m (No. 221)
Asymmetric unit:
La  0.0000  0.0000  0.0000 [1 per cell]  12 Os 3.46
In  0.5000  0.5000  0.5000 [1 per cell]  6 Os 2.44
Os  0.0000  0.5000  0.5000 [3 per cell]  2 In 2.44


Below is a relaxed PaTl2S3 crystal, with properties calculated at the PBE level.

- Formation energy from raw total energies: -0.971 eV/atom
- ΔE to the lowest computed polymorph: 0.000 eV/f.u.

Unit cell a=4.0377 b=5.7573 c=14.9247 alpha=90.00 beta=90.00 gamma=90.00
With the nearest neighbours (Å) after each atom.
Space group Immm (No. 71)
Asymmetric unit:
Pa  0.0000  0.0000  0.0000 [2 per cell]  6 S 2.69-2.88
Tl  0.0000  0.0000  0.3307 [4 per cell]  4 S 2.98-3.23
S  0.0000  0.5000  0.0000 [2 per cell]  2 Pa 2.88
S  0.0000  0.5000  0.3813 [4 per cell]  2 Pa 2.69, 2 Tl 2.98


no.,theoretical density (kg/m3)
1,8687
2,12601
3,5948
4,7509
5,10212
6,4770
7,10356
8,3981
9,5598
10,8739
11,11711
12,7045